# 1
DFT (PBE-GGA) results for DyY4Hg after structural relaxation.

a b c (Å): 6.368 8.977 8.256
angles (deg): 113.27 100.15 112.66
Fractional positions:
Y1 0.959 0.828 0.223
Y2 0.041 0.172 0.777
Y3 0.764 0.395 0.223
Y4 0.240 0.288 0.376
Y5 0.760 0.712 0.624
Dy1 0.349 0.599 0.198
Hg1 0.250 0.000 0.000
Y6 0.636 0.088 0.376
Hg2 0.750 0.000 0.000
Dy2 0.651 0.401 0.802
Y7 0.236 0.605 0.777
Y8 0.364 0.912 0.624

Density of states at the Fermi level = 18.919 states/eV/cell
Calculated density = 6.47 g/cm³
Energy of formation = -0.0572 eV per atom
Crystal system = monoclinic

***

# 2
DFT (PBE-GGA) results for AcLaNd after structural relaxation.

a b c (Å): 5.640 3.706 11.404
angles (deg): 80.65 90.00 90.00
Fractional positions:
Nd1 0.250 0.290 0.421
Ac1 0.250 0.451 0.099
Ac2 0.750 0.549 0.901
Nd2 0.750 0.710 0.579
La1 0.750 0.871 0.259
La2 0.250 0.129 0.741

Density of states at the Fermi level = 9.655 states/eV/cell
Calculated density = 7.20 g/cm³
Energy of formation = 0.0823 eV per atom
Crystal system = orthorhombic

***

What did the second record say?
DFT (PBE-GGA) results for AcLaNd after structural relaxation.

a b c (Å): 5.640 3.706 11.404
angles (deg): 80.65 90.00 90.00
Fractional positions:
Nd1 0.250 0.290 0.421
Ac1 0.250 0.451 0.099
Ac2 0.750 0.549 0.901
Nd2 0.750 0.710 0.579
La1 0.750 0.871 0.259
La2 0.250 0.129 0.741

Density of states at the Fermi level = 9.655 states/eV/cell
Calculated density = 7.20 g/cm³
Energy of formation = 0.0823 eV per atom
Crystal system = orthorhombic